Record 1
This record from Alexandria via LeMat-Bulk describes a relaxed SmGdPdPt crystal. The functional is GGA-PBE.

Theoretical density, g/cm3: 11.26

Structure (CIF):
```
data_SmGdPdPt
_cell_length_a 7.108
_cell_length_b 7.108
_cell_length_c 7.108
_cell_angle_alpha 90.00
_cell_angle_beta 90.00
_cell_angle_gamma 90.00
_space_group_name_H-M_alt 'F -4 3 m'
_space_group_IT_number 216
_space_group_name_Hall 'F -4 2 3'
loop_
_atom_site_label
_atom_site_fract_x
_atom_site_fract_y
_atom_site_fract_z
Sm1 0.000 0.000 0.000
Gd1 0.000 0.000 0.500
Pd1 0.250 0.250 0.750
Pt1 0.250 0.250 0.250
```

=====

Record 2
This record from Alexandria via LeMat-Bulk describes a relaxed GdSnPdPt crystal. The functional is GGA-PBE.

Theoretical density, g/cm3: 11.95

Structure (CIF):
```
data_GdSnPdPt
_cell_length_a 6.848
_cell_length_b 6.848
_cell_length_c 6.848
_cell_angle_alpha 90.00
_cell_angle_beta 90.00
_cell_angle_gamma 90.00
_space_group_name_H-M_alt 'F -4 3 m'
_space_group_IT_number 216
_space_group_name_Hall 'F -4 2 3'
loop_
_atom_site_label
_atom_site_fract_x
_atom_site_fract_y
_atom_site_fract_z
Gd1 0.000 0.000 0.000
Sn1 0.000 0.000 0.500
Pd1 0.250 0.250 0.750
Pt1 0.250 0.250 0.250
```

=====

Record 3
This record from Alexandria via LeMat-Bulk describes a relaxed SrGdPdPt crystal. The functional is GGA-PBE.

Theoretical density, g/cm3: 9.75

Structure (CIF):
```
data_SrGdPdPt
_cell_length_a 7.194
_cell_length_b 7.194
_cell_length_c 7.194
_cell_angle_alpha 90.00
_cell_angle_beta 90.00
_cell_angle_gamma 90.00
_space_group_name_H-M_alt 'F -4 3 m'
_space_group_IT_number 216
_space_group_name_Hall 'F -4 2 3'
loop_
_atom_site_label
_atom_site_fract_x
_atom_site_fract_y
_atom_site_fract_z
Sr1 0.000 0.000 0.000
Gd1 0.000 0.000 0.500
Pd1 0.250 0.250 0.750
Pt1 0.250 0.250 0.250
```

=====

Record 4
This record from Alexandria via LeMat-Bulk describes a relaxed GdThPdPt crystal. The functional is GGA-PBE.

Theoretical density, g/cm3: 12.42

Structure (CIF):
```
data_GdThPdPt
_cell_length_a 7.175
_cell_length_b 7.175
_cell_length_c 7.175
_cell_angle_alpha 90.00
_cell_angle_beta 90.00
_cell_angle_gamma 90.00
_space_group_name_H-M_alt 'F -4 3 m'
_space_group_IT_number 216
_space_group_name_Hall 'F -4 2 3'
loop_
_atom_site_label
_atom_site_fract_x
_atom_site_fract_y
_atom_site_fract_z
Gd1 0.000 0.000 0.000
Th1 0.000 0.000 0.500
Pd1 0.250 0.250 0.250
Pt1 0.250 0.250 0.750
```

=====

Record 5
This record from Alexandria via LeMat-Bulk describes a relaxed GdYPdPt crystal. The functional is GGA-PBE.

Theoretical density, g/cm3: 10.40

Structure (CIF):
```
data_GdYPdPt
_cell_length_a 7.046
_cell_length_b 7.046
_cell_length_c 7.046
_cell_angle_alpha 90.00
_cell_angle_beta 90.00
_cell_angle_gamma 90.00
_space_group_name_H-M_alt 'F -4 3 m'
_space_group_IT_number 216
_space_group_name_Hall 'F -4 2 3'
loop_
_atom_site_label
_atom_site_fract_x
_atom_site_fract_y
_atom_site_fract_z
Gd1 0.000 0.000 0.000
Y1 0.000 0.000 0.500
Pd1 0.250 0.250 0.750
Pt1 0.250 0.250 0.250
```

=====

Record 6
This record from Alexandria via LeMat-Bulk describes a relaxed GdPu2Pd crystal. The functional is GGA-PBE.

Theoretical density, g/cm3: 12.07

Structure (CIF):
```
data_GdPu2Pd
_cell_length_a 3.672
_cell_length_b 3.672
_cell_length_c 7.667
_cell_angle_alpha 90.00
_cell_angle_beta 90.00
_cell_angle_gamma 90.00
_space_group_name_H-M_alt 'P 4/m m m'
_space_group_IT_number 123
_space_group_name_Hall '-P 4 2'
loop_
_atom_site_label
_atom_site_fract_x
_atom_site_fract_y
_atom_site_fract_z
Gd1 0.000 0.000 0.000
Pu1 0.500 0.500 0.297
Pd1 0.000 0.000 0.500
```

=====

Record 7
This record from Alexandria via LeMat-Bulk describes a relaxed Gd2PuPd crystal. The functional is GGA-PBE.

Theoretical density, g/cm3: 10.84

Structure (CIF):
```
data_Gd2PuPd
_cell_length_a 7.414
_cell_length_b 7.414
_cell_length_c 7.414
_cell_angle_alpha 90.00
_cell_angle_beta 90.00
_cell_angle_gamma 90.00
_space_group_name_H-M_alt 'F m -3 m'
_space_group_IT_number 225
_space_group_name_Hall '-F 4 2 3'
loop_
_atom_site_label
_atom_site_fract_x
_atom_site_fract_y
_atom_site_fract_z
Gd1 0.250 0.250 0.250
Pu1 0.000 0.000 0.000
Pd1 0.000 0.000 0.500
```

=====

Record 8
This record from Alexandria via LeMat-Bulk describes a relaxed GdPuPd2 crystal. The functional is GGA-PBE.

Theoretical density, g/cm3: 11.56

Structure (CIF):
```
data_GdPuPd2
_cell_length_a 5.069
_cell_length_b 5.069
_cell_length_c 3.432
_cell_angle_alpha 90.00
_cell_angle_beta 90.00
_cell_angle_gamma 90.00
_space_group_name_H-M_alt 'P 4/m m m'
_space_group_IT_number 123
_space_group_name_Hall '-P 4 2'
loop_
_atom_site_label
_atom_site_fract_x
_atom_site_fract_y
_atom_site_fract_z
Gd1 0.000 0.000 0.000
Pu1 0.500 0.500 0.000
Pd1 0.000 0.500 0.500
```

=====

Record 9
This record from Alexandria via LeMat-Bulk describes a relaxed GdPu2Pd crystal. The functional is GGA-PBE.

Theoretical density, g/cm3: 12.91

Structure (CIF):
```
data_GdPu2Pd
_cell_length_a 7.287
_cell_length_b 7.287
_cell_length_c 7.287
_cell_angle_alpha 90.00
_cell_angle_beta 90.00
_cell_angle_gamma 90.00
_space_group_name_H-M_alt 'F m -3 m'
_space_group_IT_number 225
_space_group_name_Hall '-F 4 2 3'
loop_
_atom_site_label
_atom_site_fract_x
_atom_site_fract_y
_atom_site_fract_z
Gd1 0.000 0.000 0.000
Pu1 0.250 0.250 0.250
Pd1 0.000 0.000 0.500
```

=====

Record 10
This record from Alexandria via LeMat-Bulk describes a relaxed GdPuPd2 crystal. The functional is GGA-PBE.

Theoretical density, g/cm3: 11.52

Structure (CIF):
```
data_GdPuPd2
_cell_length_a 7.074
_cell_length_b 7.074
_cell_length_c 7.074
_cell_angle_alpha 90.00
_cell_angle_beta 90.00
_cell_angle_gamma 90.00
_space_group_name_H-M_alt 'F m -3 m'
_space_group_IT_number 225
_space_group_name_Hall '-F 4 2 3'
loop_
_atom_site_label
_atom_site_fract_x
_atom_site_fract_y
_atom_site_fract_z
Gd1 0.000 0.000 0.000
Pu1 0.000 0.000 0.500
Pd1 0.250 0.250 0.250
```

=====

Record 11
This record from Alexandria via LeMat-Bulk describes a relaxed Gd2PuPd crystal. The functional is GGA-PBE.

Theoretical density, g/cm3: 10.43

Structure (CIF):
```
data_Gd2PuPd
_cell_length_a 3.565
_cell_length_b 3.565
_cell_length_c 8.330
_cell_angle_alpha 90.00
_cell_angle_beta 90.00
_cell_angle_gamma 90.00
_space_group_name_H-M_alt 'P 4/m m m'
_space_group_IT_number 123
_space_group_name_Hall '-P 4 2'
loop_
_atom_site_label
_atom_site_fract_x
_atom_site_fract_y
_atom_site_fract_z
Gd1 0.000 0.000 0.206
Pu1 0.500 0.500 0.500
Pd1 0.500 0.500 0.000
```

=====

Record 12
This record from Alexandria via LeMat-Bulk describes a relaxed GdPuPdRu crystal. The functional is GGA-PBE.

Theoretical density, g/cm3: 12.17

Structure (CIF):
```
data_GdPuPdRu
_cell_length_a 6.925
_cell_length_b 6.925
_cell_length_c 6.925
_cell_angle_alpha 90.00
_cell_angle_beta 90.00
_cell_angle_gamma 90.00
_space_group_name_H-M_alt 'F -4 3 m'
_space_group_IT_number 216
_space_group_name_Hall 'F -4 2 3'
loop_
_atom_site_label
_atom_site_fract_x
_atom_site_fract_y
_atom_site_fract_z
Gd1 0.000 0.000 0.000
Pu1 0.000 0.000 0.500
Pd1 0.250 0.250 0.250
Ru1 0.250 0.250 0.750
```

=====

Number 1: calculated volume 359.2 Å³ per cell, formation energy -0.98 eV per atom. Number 2: calculated volume 321.1 Å³ per cell, formation energy -0.87 eV per atom. Number 3: calculated volume 372.3 Å³ per cell, formation energy -0.80 eV per atom. Number 4: calculated volume 369.4 Å³ per cell, formation energy -0.92 eV per atom. Number 5: calculated volume 349.8 Å³ per cell, formation energy -1.03 eV per atom. Number 6: calculated volume 103.4 Å³ per cell, formation energy -0.10 eV per atom. Number 7: calculated volume 407.5 Å³ per cell, formation energy -0.05 eV per atom. Number 8: calculated volume 88.2 Å³ per cell, formation energy -0.61 eV per atom. Number 9: calculated volume 386.9 Å³ per cell, formation energy 0.05 eV per atom. Number 10: calculated volume 353.9 Å³ per cell, formation energy -0.59 eV per atom. Number 11: calculated volume 105.9 Å³ per cell, formation energy -0.32 eV per atom. Number 12: calculated volume 332.1 Å³ per cell, formation energy -0.37 eV per atom.